# 1
## Ac2PmNi3 (PBE)

Data for a relaxed structure of Ac2PmNi3.

Computed properties:
Its total energy is -5.282 eV/atom. The calculation puts the formation energy at -22.2 kJ/mol of atoms. As for the space-group type: Cmcm.

abc: 8.147 8.147 5.154
angles: 90.00 90.00 60.42
Element x y z (fractional)
Ac 0.013 0.667 0.750
Ac 0.333 0.987 0.750
Ac 0.667 0.013 0.250
Ac 0.987 0.333 0.250
Pm 0.347 0.653 0.250
Pm 0.653 0.347 0.750
Ni 0.000 0.000 0.000
Ni 0.000 0.000 0.500
Ni 0.337 0.337 0.000
Ni 0.337 0.337 0.500
Ni 0.663 0.663 0.000
Ni 0.663 0.663 0.500



# 2
## VFeGe3 (PBE)

Data for a relaxed structure of VFeGe3.

Computed properties:
Its total energy is -5.708 eV/atom. The calculation puts the formation energy at 55.8 kJ/mol of atoms. As for the space-group type: Pm-3m.

abc: 4.538 4.538 4.538
angles: 90.00 90.00 90.00
Element x y z (fractional)
V 0.000 0.000 0.000
Fe 0.500 0.500 0.500
Ge 0.000 0.500 0.500
Ge 0.500 0.000 0.500
Ge 0.500 0.500 0.000